[1]
This record from Alexandria via LeMat-Bulk describes crystalline La3SeCl3 at its relaxed geometry. The functional is PBE.

Properties
formation energy (no corrections)	-1.907	eV per atom
symmetry	R-3 (148)
magnetic moment	0.0	μB per formula unit
Fermi-level density of states	4.2	states/eV/cell
energy above the lowest structure with this stoichiometry	3.59	kJ/mol of atoms

Lattice parameters (Å, degrees): 7.3090 7.3090 10.9442 70.49 70.49 60.00
Atoms (fractional coordinates):
Se 0.6667 0.6667 0.0000
La 0.0551 0.7165 0.8345
La 0.7165 0.3938 0.8345
La 0.9449 0.2835 0.1655
Se 0.3333 0.3333 0.0000
Cl 0.8900 0.5633 0.3297
Cl 0.7829 0.1100 0.6703
La 0.2835 0.6062 0.1655
Cl 0.1100 0.4367 0.6703
La 0.6062 0.9449 0.1655
Cl 0.5633 0.2171 0.3297
Cl 0.2171 0.8900 0.3297
La 0.3938 0.0551 0.8345
Cl 0.4367 0.7829 0.6703

[2]
This record from Alexandria via LeMat-Bulk describes crystalline La4SeCl5 at its relaxed geometry. The functional is PBE.

Properties
formation energy (no corrections)	-1.986	eV per atom
symmetry	C2/m (12)
magnetic moment	0.0	μB per formula unit
Fermi-level density of states	4.9	states/eV/cell

Lattice parameters (Å, degrees): 4.1407 8.5095 9.2949 102.85 102.87 90.00
Atoms (fractional coordinates):
Se 0.5000 0.0000 0.0000
Cl 0.1699 0.8310 0.3398
Cl 0.1653 0.3265 0.3306
La 0.9992 0.2357 0.9983
Cl 0.5000 0.5000 0.0000
La 0.0008 0.7643 0.0017
Cl 0.8347 0.6735 0.6694
La 0.6615 0.0829 0.3230
Cl 0.8301 0.1690 0.6602
La 0.3385 0.9171 0.6770